[1]
Here is crystalline AcGe2Pt4 at its relaxed geometry from the Alexandria database. Energies are from PBE.

Cell and atoms, written as POSCAR:
```
AcGe2Pt4
1.0
18.606 0.000 0.000
0.000 4.247 0.000
0.000 0.000 7.052
Ac Ge Pt
4 8 16
direct
0.139 0.250 0.035
0.361 0.750 0.535
0.639 0.250 0.465
0.861 0.750 0.965
0.034 0.750 0.729
0.200 0.250 0.465
0.300 0.750 0.965
0.466 0.250 0.229
0.534 0.750 0.771
0.700 0.250 0.035
0.800 0.750 0.535
0.966 0.250 0.271
0.013 0.750 0.126
0.064 0.250 0.520
0.165 0.750 0.660
0.234 0.750 0.277
0.266 0.250 0.777
0.335 0.250 0.160
0.436 0.750 0.020
0.487 0.250 0.626
0.513 0.750 0.374
0.564 0.250 0.980
0.665 0.750 0.840
0.734 0.750 0.223
0.766 0.250 0.723
0.835 0.250 0.340
0.936 0.750 0.480
0.987 0.250 0.874
```

Calculated values
Size of the total moment ... 0.0 μB/f.u.
Space-group type ... No. 62

[2]
Here is crystalline Ac4Ge2Pt at its relaxed geometry from the Alexandria database. Energies are from PBE.

Cell and atoms, written as POSCAR:
```
Ac4Ge2Pt
1.0
-4.765 4.768 4.986
4.765 -4.768 4.986
4.765 4.768 -4.986
Ac Ge Pt
8 4 2
direct
0.002 0.881 0.507
0.119 0.127 0.121
0.381 0.502 0.007
0.498 0.006 0.879
0.505 0.998 0.379
0.627 0.619 0.621
0.873 0.494 0.993
0.995 0.373 0.493
0.139 0.750 0.889
0.250 0.639 0.389
0.361 0.250 0.611
0.750 0.861 0.111
0.626 0.376 0.250
0.874 0.124 0.750
```

Calculated values
Size of the total moment ... 0.0 μB/f.u.
Space-group type ... No. 24

Result set for ΔE to the lowest computed polymorph: 0.000 0.000 eV per atom, one per record in the order listed.